[1]
First-principles (PBE) data for Hf4CuN2 after structural relaxation, as listed in OQMD via LeMat-Bulk.

```
14
Lattice="2.007 4.115 3.404 -3.307 -1.296 -4.465 -8.945 -1.471 7.053" Properties=species:S:1:pos:R:3 pbc="T T T"
Cu -2.271 1.668 2.143
Cu -7.974 -0.319 3.849
Hf -0.650 1.410 -0.530
Hf -3.018 -0.173 -1.836
Hf -0.613 3.357 4.598
Hf -5.551 -0.590 0.161
Hf -5.123 0.675 2.996
Hf -4.695 1.939 5.831
Hf -9.632 -2.007 1.394
Hf -7.227 1.522 7.828
N 0.753 3.305 2.788
N -2.626 2.750 5.452
N -7.619 -1.401 0.540
N -10.999 -1.956 3.204
```

Results
Energy, eV/atom: -9.735
Symmetry: Cmcm
Magnetic moment, μB per formula unit: 0.001


[2]
First-principles (PBE) data for LuAgMo after structural relaxation, as listed in OQMD via LeMat-Bulk.

```
3
Lattice="0.000 3.287 3.287 3.287 0.000 3.287 3.287 3.287 0.000" Properties=species:S:1:pos:R:3 pbc="T T T"
Ag 1.643 1.643 1.643
Lu 0.000 0.000 0.000
Mo 4.930 4.930 4.930
```

Results
ΔE to the lowest computed polymorph, meV/atom: 270
Energy of formation from the pure elements, eV per atom: 1.12
Symmetry: F-43m
Magnetic moment, μB per formula unit: 2.896


[3]
First-principles (PBE) data for CuAg3 after structural relaxation, as listed in OQMD via LeMat-Bulk.

```
8
Lattice="-0.780 -3.929 -0.662 3.922 -0.690 -0.525 0.794 -1.486 7.884" Properties=species:S:1:pos:R:3 pbc="T T T"
Ag -0.089 -1.180 0.883
Ag 1.482 -3.490 0.295
Ag 2.070 -1.896 2.592
Ag 1.866 -4.209 4.105
Ag 2.454 -2.615 6.401
Ag 0.104 -4.235 6.338
Cu -0.279 -3.519 2.539
Cu 0.293 -1.896 4.683
```

Results
Energy of formation from the pure elements, eV per atom: 0.07
Symmetry: Pmma


[4]
First-principles (PBE) data for HoTm2Mg3In2Hg after structural relaxation, as listed in OQMD via LeMat-Bulk.

```
9
Lattice="-0.975 2.878 -3.445 -3.800 4.360 4.717 7.291 1.133 -1.117" Properties=species:S:1:pos:R:3 pbc="T T T"
Hg 3.484 5.481 3.592
Ho 1.478 2.326 1.524
In -0.597 4.728 1.056
In 3.117 3.648 -0.897
Mg -1.394 2.479 -0.597
Mg 1.252 1.710 -1.989
Mg 2.169 5.617 1.016
Tm -2.191 2.518 2.724
Tm 4.209 0.656 -0.643
```

Results
Energy, eV/atom: -3.052
Symmetry: Amm2
Magnetic moment, μB per formula unit: 0.001


[5]
First-principles (PBE) data for Bi3Sb4Pd4 after structural relaxation, as listed in OQMD via LeMat-Bulk.

```
11
Lattice="7.417 3.052 -0.399 4.757 -4.242 4.885 -5.072 -2.332 -5.772" Properties=species:S:1:pos:R:3 pbc="T T T"
Bi 6.087 -0.595 2.243
Bi 4.216 0.063 -1.964
Bi 2.886 -3.584 0.678
Pd 5.253 1.371 0.373
Pd 3.926 -2.268 3.009
Pd 8.090 -2.202 1.034
Pd 2.006 -1.613 -1.217
Sb 2.831 -0.277 1.043
Sb 9.343 -0.913 3.443
Sb 1.172 0.360 -3.086
Sb -0.158 -3.287 -0.444
```

Results
Energy, eV/atom: -4.697
Symmetry: I-42m


[6]
First-principles (PBE) data for GeIrPt2 after structural relaxation, as listed in OQMD via LeMat-Bulk.

```
4
Lattice="-2.623 -2.702 2.358 -0.013 0.232 4.437 -3.538 1.640 2.129" Properties=species:S:1:pos:R:3 pbc="T T T"
Ge -3.087 -0.415 4.462
Ir -1.543 -0.208 2.231
Pt 0.000 0.000 0.000
Pt -4.630 -0.623 6.692
```

Results
Energy, eV/atom: -6.337
Symmetry: F-43m
Magnetic moment, μB per formula unit: 0.007


[7]
First-principles (PBE) data for SmIrPd3 after structural relaxation, as listed in OQMD via LeMat-Bulk.

```
5
Lattice="4.942 0.000 0.000 0.000 4.942 0.000 0.000 0.000 4.942" Properties=species:S:1:pos:R:3 pbc="T T T"
Ir 0.000 0.000 0.000
Pd 2.471 2.471 0.000
Pd 2.471 0.000 2.471
Pd 0.000 2.471 2.471
Sm 2.471 2.471 2.471
```

Results
Energy of formation from the pure elements, eV per atom: 1.32
Symmetry: Pm-3m
Magnetic moment, μB per formula unit: 0.863


[8]
First-principles (PBE) data for TbOsPb2O6 after structural relaxation, as listed in OQMD via LeMat-Bulk.

```
10
Lattice="5.139 0.000 0.000 1.396 4.954 0.000 0.318 0.092 5.775" Properties=species:S:1:pos:R:3 pbc="T T T"
O 1.788 1.331 0.040
O 4.117 1.446 1.520
O 2.487 3.540 1.531
O 4.366 1.506 4.244
O 2.735 3.600 4.255
O 5.064 3.715 5.735
Os 3.267 2.477 0.000
Pb 4.668 3.466 2.790
Pb 2.184 1.580 2.985
Tb 0.000 0.000 0.000
```

Results
ΔE to the lowest computed polymorph, meV/atom: 117
Symmetry: P-1
Magnetic moment, μB per formula unit: 1.136


[9]
First-principles (PBE) data for InTe5W3 after structural relaxation, as listed in OQMD via LeMat-Bulk.

```
9
Lattice="-3.269 -4.448 -1.876 5.772 -0.077 -0.817 0.977 -3.778 7.258" Properties=species:S:1:pos:R:3 pbc="T T T"
In 0.000 0.000 0.000
Te -0.033 -3.852 0.131
Te 2.981 -2.395 0.484
Te 0.488 -1.889 3.629
Te 0.499 -5.908 4.081
Te 3.513 -4.451 4.434
W -1.146 -4.113 2.691
W 3.375 -1.927 3.220
W 1.740 -4.151 2.283
```

Results
Energy, eV/atom: -6.027
Symmetry: P6/mmm
Magnetic moment, μB per formula unit: 0.523


[10]
First-principles (PBE) data for KRbNb2As2O after structural relaxation, as listed in OQMD via LeMat-Bulk.

```
7
Lattice="-2.106 2.106 9.240 2.106 -2.106 9.240 2.106 2.106 -9.240" Properties=species:S:1:pos:R:3 pbc="T T T"
As 0.000 0.000 7.434
As 0.000 0.000 11.075
K 0.000 0.000 3.103
Nb 0.000 2.106 9.231
Nb 2.106 0.000 9.231
O 0.000 0.000 0.308
Rb 0.000 0.000 15.057
```

Results
Energy, eV/atom: -6.094
Symmetry: I4mm
Magnetic moment, μB per formula unit: 0.003


[11]
First-principles (PBE) data for La2HgPbO6 after structural relaxation, as listed in OQMD via LeMat-Bulk.

```
10
Lattice="3.059 1.766 4.812 -3.059 1.766 4.812 0.000 -3.532 4.812" Properties=species:S:1:pos:R:3 pbc="T T T"
Hg 0.000 0.000 7.217
La 0.000 0.000 3.333
La 0.000 0.000 11.102
O 1.324 1.627 6.112
O -0.747 1.960 8.323
O -2.071 0.333 6.112
O 2.071 -0.333 8.323
O 0.747 -1.960 6.112
O -1.324 -1.627 8.323
Pb 0.000 0.000 0.000
```

Results
Energy, eV/atom: -6.317
Symmetry: R-3
Magnetic moment, μB per formula unit: 0.000


[12]
First-principles (PBE) data for NbInW after structural relaxation, as listed in OQMD via LeMat-Bulk.

```
3
Lattice="0.000 3.214 3.214 3.214 0.000 3.214 3.214 3.214 0.000" Properties=species:S:1:pos:R:3 pbc="T T T"
In 1.607 1.607 1.607
Nb 4.822 4.822 4.822
W 0.000 0.000 0.000
```

Results
ΔE to the lowest computed polymorph, meV/atom: 0
Symmetry: F-43m
Magnetic moment, μB per formula unit: 0.006


no.,ρ (g cm⁻³)
1,13.0
2,8.9
3,9.8
4,7.6
5,8.9
6,17.5
7,9.1
8,9.7
9,8.9
10,4.8
11,8.3
12,9.8